Record 1
Entry from the Alexandria database: a geometry-optimized MoRh2Pb structure (GGA-PBEsol).

Properties
density of states at the Fermi level: 0.832 states/eV/atom
calculated formation energy: 1.0 eV per formula unit

Lattice parameters (Å, degrees): 2.929 2.929 9.096 80.73 80.73 60.00
Sites, in units of the cell vectors:
Mo (0.500, 0.500, 0.500)
Pb (0.000, 0.000, 0.000)
Rh (0.243, 0.243, 0.271)
Rh (0.757, 0.757, 0.729)


Record 2
Entry from the Alexandria database: a geometry-optimized Mo2RhPb structure (GGA-PBEsol).

Properties
density of states at the Fermi level: 0.841 states/eV/atom
calculated formation energy: 1.7 eV per formula unit

Lattice parameters (Å, degrees): 3.096 3.096 8.704 79.75 79.75 60.00
Sites, in units of the cell vectors:
Mo (0.001, 0.001, 0.997)
Mo (0.737, 0.737, 0.788)
Pb (0.503, 0.503, 0.491)
Rh (0.259, 0.259, 0.224)


Record 3
Entry from the Alexandria database: a geometry-optimized Mo2RhPb structure (GGA-PBEsol).

Properties
density of states at the Fermi level: 0.846 states/eV/atom
calculated formation energy: 1.5 eV per formula unit

Lattice parameters (Å, degrees): 3.878 4.183 4.967 114.90 112.98 90.00
Sites, in units of the cell vectors:
Mo (0.018, 0.018, 0.036)
Mo (0.737, 0.237, 0.475)
Pb (0.495, 0.495, 0.991)
Rh (0.249, 0.749, 0.498)


Record 4
Entry from the Alexandria database: a geometry-optimized MoRh2Pb structure (GGA-PBEsol).

Properties
density of states at the Fermi level: 1.088 states/eV/atom
calculated formation energy: 1.0 eV per formula unit

Lattice parameters (Å, degrees): 2.908 3.860 5.816 90.00 90.00 90.00
Sites, in units of the cell vectors:
Mo (0.000, 0.000, 0.452)
Pb (0.500, 0.500, 0.768)
Rh (0.000, 0.000, 0.011)
Rh (0.500, 0.500, 0.269)